Entry from the Alexandria database: crystalline TiAsCBr2 at its relaxed geometry (GGA-PBE).

Cell lengths 4.602, 4.602, 4.424 Å; angles 90.00, 90.00, 90.00 degrees
Space group P4/mmm (No. 123)
Inequivalent atoms, fractional coordinates:
Ti  0.000  0.000  0.000 [1 per cell]
As  0.500  0.500  0.000 [1 per cell]
C  0.500  0.500  0.500 [1 per cell]
Br  0.000  0.500  0.500 [2 per cell]

=====

Entry from the Alexandria database: crystalline Al2SiSnSe at its relaxed geometry (GGA-PBE).

Cell lengths 5.290, 5.290, 5.126 Å; angles 90.00, 90.00, 90.00 degrees
Space group P4/mmm (No. 123)
Inequivalent atoms, fractional coordinates:
Al  0.000  0.500  0.000 [2 per cell]
Si  0.000  0.000  0.500 [1 per cell]
Sn  0.000  0.000  0.000 [1 per cell]
Se  0.500  0.500  0.500 [1 per cell]

=====

Entry from the Alexandria database: crystalline HfSe3O at its relaxed geometry (GGA-PBE).

Cell lengths 4.474, 4.474, 4.474 Å; angles 90.00, 90.00, 90.00 degrees
Space group Pm-3m (No. 221)
Inequivalent atoms, fractional coordinates:
Hf  0.000  0.000  0.000 [1 per cell]
Se  0.000  0.500  0.500 [3 per cell]
O  0.500  0.500  0.500 [1 per cell]

=====

Entry from the Alexandria database: crystalline SrVBr2 at its relaxed geometry (GGA-PBE).

Cell lengths 7.554, 7.554, 7.554 Å; angles 90.00, 90.00, 90.00 degrees
Space group Fm-3m (No. 225)
Inequivalent atoms, fractional coordinates:
Sr  0.000  0.000  0.000 [4 per cell]
V  0.000  0.000  0.500 [4 per cell]
Br  0.250  0.250  0.250 [8 per cell]

=====

It is found that the E values, taken in the order of the records, are -19.71, -15.95, -25.25, -63.73 eV per cell.
It is found that the magnetization values, taken in the order of the records, are 1.389, 0.000, 0.000, 4.956 μB per formula unit.
It is found that the theoretical density values, taken in the order of the records, are 5.220, 3.238, 8.001, 4.598 g/cm3.